Compound: CdCoGe2O6
Source: Alexandria
Functional: PBE+U
Structure: optimized geometry

a b c (Å): 5.4289 6.8661 6.8661
angles (deg): 85.20 79.98 79.98
With the nearest neighbours (Å) after each atom.
Positions (direct):
Cd 0.2500 0.2857 0.7143  6 O 2.26-2.48
Cd 0.7500 0.7143 0.2857  6 O 2.26-2.48
Co 0.2500 0.9066 0.0934  6 O 2.11-2.20
Co 0.7500 0.0934 0.9066  6 O 2.11-2.20
Ge 0.2151 0.8018 0.6145  4 O 1.74-1.82
Ge 0.2849 0.3855 0.1982  4 O 1.74-1.82
Ge 0.7849 0.1982 0.3855  4 O 1.74-1.82
Ge 0.7151 0.6145 0.8018  4 O 1.74-1.82
O 0.1297 0.9716 0.8025  1 Ge 1.76
O 0.3703 0.1975 0.0284  1 Ge 1.76
O 0.8703 0.0284 0.1975  1 Ge 1.76
O 0.6297 0.8025 0.9716  1 Ge 1.76
O 0.3535 0.8777 0.3784  1 Ge 1.74
O 0.1465 0.6216 0.1223  1 Ge 1.74
O 0.6465 0.1223 0.6216  1 Ge 1.74
O 0.8535 0.3784 0.8777  1 Ge 1.74
O 0.9393 0.6933 0.5924  2 Ge 1.82
O 0.5607 0.4076 0.3067  2 Ge 1.82
O 0.0607 0.3067 0.4076  2 Ge 1.82
O 0.4393 0.5924 0.6933  2 Ge 1.82

## Properties
total magnetization	3.01	μB/f.u.
final energy	-0.21817	Ha/atom